FeSeNF2 PBE with a Hubbard U relaxed; space group = No. 123; ΔE to the lowest computed polymorph = 223 kJ/mol of formula units; electronic total energy = -4.10 eV/atom; mass density = 4.1 g cm⁻³
1.0
-2.962 2.844 1.848
0.622 -1.957 4.008
2.743 2.379 0.735
Fe F Se N
1 2 1 1
Direct
0.500 0.500 0.500
0.000 0.500 0.000
0.500 0.000 0.000
0.000 0.000 0.000
0.000 0.000 0.500

=====

FeSeN2F PBE with a Hubbard U relaxed; space group = No. 123; ΔE to the lowest computed polymorph = 634 kJ/mol of formula units; electronic total energy = -3.44 eV/atom; mass density = 4.5 g cm⁻³
1.0
4.075 0.000 0.000
0.000 4.075 0.000
0.000 0.000 4.070
N Se F Fe
2 1 1 1
Direct
0.500 0.000 0.000
0.000 0.500 0.000
0.000 0.000 0.500
0.000 0.000 0.000
0.500 0.500 0.500

=====

FeSe2NF PBE with a Hubbard U relaxed; space group = No. 123; ΔE to the lowest computed polymorph = 0 kJ/mol of formula units; electronic total energy = -3.83 eV/atom; mass density = 4.7 g cm⁻³
1.0
-0.607 0.999 -4.856
1.182 -4.722 -1.119
-3.380 -0.903 0.237
F Se Fe N
1 2 1 1
Direct
0.500 0.500 0.500
0.500 0.000 0.000
0.000 0.500 0.000
0.000 0.000 0.000
0.000 0.000 0.500

=====

FeSeNF2 PBE with a Hubbard U relaxed; space group = No. 123; ΔE to the lowest computed polymorph = 0 kJ/mol of formula units; electronic total energy = -4.56 eV/atom; mass density = 4.7 g cm⁻³
1.0
-2.501 2.881 -0.001
-1.509 -1.308 3.251
2.919 2.534 2.374
F Se N Fe
2 1 1 1
Direct
0.000 0.500 0.000
0.500 0.000 0.000
0.500 0.500 0.500
0.000 0.000 0.500
0.000 0.000 0.000

=====

FeSeN2F PBE with a Hubbard U relaxed; space group = No. 123; ΔE to the lowest computed polymorph = 0 kJ/mol of formula units; electronic total energy = -4.76 eV/atom; mass density = 5.0 g cm⁻³
1.0
3.990 0.000 0.000
0.000 3.990 0.000
0.000 0.000 3.785
Se N F Fe
1 2 1 1
Direct
0.500 0.500 0.500
0.000 0.500 0.000
0.500 0.000 0.000
0.000 0.000 0.500
0.000 0.000 0.000

=====

FeSeN2F PBE with a Hubbard U relaxed; space group = No. 123; ΔE to the lowest computed polymorph = 65 kJ/mol of formula units; electronic total energy = -4.62 eV/atom; mass density = 4.9 g cm⁻³
1.0
-1.443 -1.008 -3.487
1.758 -3.477 0.278
-3.301 -1.525 1.807
N Se F Fe
2 1 1 1
Direct
0.500 0.000 0.000
0.000 0.500 0.000
0.000 0.000 0.000
0.000 0.000 0.500
0.500 0.500 0.500

=====

FeSeN2F PBE with a Hubbard U relaxed; space group = No. 123; ΔE to the lowest computed polymorph = 231 kJ/mol of formula units; electronic total energy = -4.28 eV/atom; mass density = 4.8 g cm⁻³
1.0
3.486 0.000 0.000
0.000 3.486 0.000
0.000 0.000 5.157
N F Fe Se
2 1 1 1
Direct
0.000 0.500 0.000
0.500 0.000 0.000
0.500 0.500 0.500
0.000 0.000 0.000
0.000 0.000 0.500

=====

SrFeNF2 PBE with a Hubbard U relaxed; space group = No. 123; ΔE to the lowest computed polymorph = 474 kJ/mol of formula units; electronic total energy = -4.60 eV/atom; mass density = 3.1 g cm⁻³
1.0
4.510 0.000 0.000
0.000 4.510 0.000
0.000 0.000 5.125
N F Sr Fe
1 2 1 1
Direct
0.000 0.000 0.500
0.000 0.500 0.000
0.500 0.000 0.000
0.000 0.000 0.000
0.500 0.500 0.500

=====

SrFeNF2 PBE with a Hubbard U relaxed; space group = No. 123; ΔE to the lowest computed polymorph = 0 kJ/mol of formula units; electronic total energy = -5.58 eV/atom; mass density = 4.7 g cm⁻³
1.0
-4.043 -0.746 -0.726
-0.247 -2.141 3.576
-0.958 3.320 1.922
Sr N F Fe
1 1 2 1
Direct
0.500 0.500 0.500
0.000 0.000 0.500
0.000 0.500 0.000
0.500 0.000 0.000
0.000 0.000 0.000

=====

TaFeNF2 PBE with a Hubbard U relaxed; space group = No. 123; ΔE to the lowest computed polymorph = 0 kJ/mol of formula units; electronic total energy = -6.83 eV/atom; mass density = 7.0 g cm⁻³
1.0
-2.480 -0.352 -3.274
2.649 -2.649 -1.722
-1.922 -3.083 1.787
F Fe N Ta
2 1 1 1
Direct
0.500 0.000 0.000
0.000 0.500 0.000
0.500 0.500 0.500
0.000 0.000 0.500
0.000 0.000 0.000

=====

TaFeNF2 PBE with a Hubbard U relaxed; space group = No. 123; ΔE to the lowest computed polymorph = 445 kJ/mol of formula units; electronic total energy = -5.91 eV/atom; mass density = 8.0 g cm⁻³
1.0
-3.298 -1.741 -0.056
1.624 -3.029 -1.449
0.729 -1.508 3.969
N F Fe Ta
1 2 1 1
Direct
0.000 0.000 0.500
0.500 0.000 0.000
0.000 0.500 0.000
0.000 0.000 0.000
0.500 0.500 0.500

=====

FeTcNF2 PBE with a Hubbard U relaxed; space group = No. 123; ΔE to the lowest computed polymorph = 0 kJ/mol of formula units; electronic total energy = -5.74 eV/atom; mass density = 5.4 g cm⁻³
1.0
-0.511 3.053 -2.335
1.118 -2.136 -3.037
-4.029 -1.177 -0.656
Fe F N Tc
1 2 1 1
Direct
0.000 0.000 0.000
0.000 0.500 0.000
0.500 0.000 0.000
0.000 0.000 0.500
0.500 0.500 0.500

=====

FeTcNF2 PBE with a Hubbard U relaxed; space group = No. 123; ΔE to the lowest computed polymorph = 248 kJ/mol of formula units; electronic total energy = -5.23 eV/atom; mass density = 4.2 g cm⁻³
1.0
3.809 0.000 0.000
0.000 5.611 0.000
0.000 0.000 3.809
F Fe N Tc
2 1 1 1
Direct
0.500 0.000 0.000
0.000 0.000 0.500
0.000 0.500 0.000
0.500 0.500 0.500
0.000 0.000 0.000

=====

FeTeN2F PBE with a Hubbard U relaxed; space group = No. 123; ΔE to the lowest computed polymorph = 0 kJ/mol of formula units; electronic total energy = -4.97 eV/atom; mass density = 6.1 g cm⁻³
1.0
-1.237 -0.086 -3.875
3.829 -0.659 -1.208
-0.563 -3.753 0.263
Te Fe N F
1 1 2 1
Direct
0.500 0.500 0.500
0.000 0.000 0.000
0.500 0.000 0.000
0.000 0.500 0.000
0.000 0.000 0.500

=====

FeTeN2F PBE with a Hubbard U relaxed; space group = No. 123; ΔE to the lowest computed polymorph = 136 kJ/mol of formula units; electronic total energy = -4.69 eV/atom; mass density = 5.4 g cm⁻³
1.0
4.141 0.000 0.000
0.000 4.141 0.000
0.000 0.000 4.154
Fe N Te F
1 2 1 1
Direct
0.500 0.500 0.500
0.500 0.000 0.000
0.000 0.500 0.000
0.000 0.000 0.000
0.000 0.000 0.500

=====

FeTeN2F PBE with a Hubbard U relaxed; space group = No. 123; ΔE to the lowest computed polymorph = 211 kJ/mol of formula units; electronic total energy = -4.53 eV/atom; mass density = 4.9 g cm⁻³
1.0
-2.382 -1.641 -2.251
2.783 -1.535 -1.826
-0.197 -4.564 3.536
Te N F Fe
1 2 1 1
Direct
0.000 0.000 0.500
0.000 0.500 0.000
0.500 0.000 0.000
0.500 0.500 0.500
0.000 0.000 0.000

=====

FeTeN2F PBE with a Hubbard U relaxed; space group = No. 123; ΔE to the lowest computed polymorph = 696 kJ/mol of formula units; electronic total energy = -3.53 eV/atom; mass density = 4.7 g cm⁻³
1.0
4.470 0.000 0.000
0.000 4.470 0.000
0.000 0.000 4.080
Fe F N Te
1 1 2 1
Direct
0.500 0.500 0.500
0.000 0.000 0.000
0.500 0.000 0.000
0.000 0.500 0.000
0.000 0.000 0.500

=====

TiFeNF2 PBE with a Hubbard U relaxed; space group = No. 123; ΔE to the lowest computed polymorph = 235 kJ/mol of formula units; electronic total energy = -5.92 eV/atom; mass density = 4.2 g cm⁻³
1.0
-0.967 1.249 3.534
1.985 -2.925 1.577
3.370 2.339 0.096
N Ti F Fe
1 1 2 1
Direct
0.000 0.000 0.500
0.500 0.500 0.500
0.000 0.500 0.000
0.500 0.000 0.000
0.000 0.000 0.000

=====

TiFeNF2 PBE with a Hubbard U relaxed; space group = No. 123; ΔE to the lowest computed polymorph = 0 kJ/mol of formula units; electronic total energy = -6.41 eV/atom; mass density = 4.2 g cm⁻³
1.0
-0.336 2.239 3.234
-3.747 0.805 -0.946
-1.205 -3.173 2.072
F Fe Ti N
2 1 1 1
Direct
0.500 0.000 0.000
0.000 0.500 0.000
0.500 0.500 0.500
0.000 0.000 0.000
0.000 0.000 0.500

=====

TlFeN2F PBE with a Hubbard U relaxed; space group = No. 123; ΔE to the lowest computed polymorph = 0 kJ/mol of formula units; electronic total energy = -4.95 eV/atom; mass density = 8.0 g cm⁻³
1.0
-0.846 2.390 -3.023
-3.851 -0.653 0.560
-0.168 3.195 2.573
F N Tl Fe
1 2 1 1
Direct
0.000 0.000 0.500
0.000 0.500 0.000
0.500 0.000 0.000
0.500 0.500 0.500
0.000 0.000 0.000

=====

TlFeNF2 PBE with a Hubbard U relaxed; space group = No. 123; ΔE to the lowest computed polymorph = 0 kJ/mol of formula units; electronic total energy = -4.85 eV/atom; mass density = 7.5 g cm⁻³
1.0
-3.819 0.984 1.079
-1.030 -3.956 -0.038
1.047 -0.310 3.990
N Tl F Fe
1 1 2 1
Direct
0.000 0.000 0.500
0.500 0.500 0.500
0.000 0.500 0.000
0.500 0.000 0.000
0.000 0.000 0.000

=====

TlFeNF2 PBE with a Hubbard U relaxed; space group = No. 123; ΔE to the lowest computed polymorph = 382 kJ/mol of formula units; electronic total energy = -4.06 eV/atom; mass density = 6.1 g cm⁻³
1.0
4.455 0.000 0.000
0.000 4.455 0.000
0.000 0.000 4.262
Fe F N Tl
1 2 1 1
Direct
0.500 0.500 0.500
0.500 0.000 0.000
0.000 0.500 0.000
0.000 0.000 0.500
0.000 0.000 0.000

=====

TlFeN2F PBE with a Hubbard U relaxed; space group = No. 123; ΔE to the lowest computed polymorph = 476 kJ/mol of formula units; electronic total energy = -3.97 eV/atom; mass density = 6.2 g cm⁻³
1.0
4.293 0.000 0.000
0.000 4.293 0.000
0.000 0.000 4.457
Tl F N Fe
1 1 2 1
Direct
0.000 0.000 0.000
0.000 0.000 0.500
0.500 0.000 0.000
0.000 0.500 0.000
0.500 0.500 0.500

=====

VFeN2F PBE with a Hubbard U relaxed; space group = No. 123; ΔE to the lowest computed polymorph = 367 kJ/mol of formula units; electronic total energy = -5.58 eV/atom; mass density = 4.8 g cm⁻³
1.0
-1.880 -0.886 3.139
-2.949 -1.085 -2.072
1.398 -3.509 -0.153
F N V Fe
1 2 1 1
Direct
0.000 0.000 0.500
0.000 0.500 0.000
0.500 0.000 0.000
0.500 0.500 0.500
0.000 0.000 0.000

=====

VFeNF2 PBE with a Hubbard U relaxed; space group = No. 123; ΔE to the lowest computed polymorph = 0 kJ/mol of formula units; electronic total energy = -5.85 eV/atom; mass density = 4.3 g cm⁻³
1.0
-2.005 3.445 -0.299
-2.881 -1.855 -2.058
-1.852 -0.791 3.305
Fe F V N
1 2 1 1
Direct
0.500 0.500 0.500
0.000 0.500 0.000
0.500 0.000 0.000
0.000 0.000 0.000
0.000 0.000 0.500

=====

VFeN2F PBE with a Hubbard U relaxed; space group = No. 123; ΔE to the lowest computed polymorph = 0 kJ/mol of formula units; electronic total energy = -6.34 eV/atom; mass density = 4.5 g cm⁻³
1.0
-1.658 -0.805 3.380
-2.442 -2.395 -1.768
2.446 -2.874 0.516
Fe N F V
1 2 1 1
Direct
0.500 0.500 0.500
0.000 0.500 0.000
0.500 0.000 0.000
0.000 0.000 0.500
0.000 0.000 0.000

=====

VFeNF2 PBE with a Hubbard U relaxed; space group = No. 123; ΔE to the lowest computed polymorph = 126 kJ/mol of formula units; electronic total energy = -5.59 eV/atom; mass density = 4.3 g cm⁻³
1.0
-2.815 -1.949 1.880
2.224 -0.119 3.208
-1.603 3.513 1.241
V Fe N F
1 1 1 2
Direct
0.500 0.500 0.500
0.000 0.000 0.000
0.000 0.000 0.500
0.000 0.500 0.000
0.500 0.000 0.000

=====

VFeN2F PBE with a Hubbard U relaxed; space group = No. 123; ΔE to the lowest computed polymorph = 701 kJ/mol of formula units; electronic total energy = -4.89 eV/atom; mass density = 4.1 g cm⁻³
1.0
4.212 0.000 0.000
0.000 3.546 0.000
0.000 0.000 4.212
N F Fe V
2 1 1 1
Direct
0.500 0.000 0.000
0.000 0.000 0.500
0.000 0.000 0.000
0.000 0.500 0.000
0.500 0.500 0.500

=====

FeWNF2 PBE with a Hubbard U relaxed; space group = No. 123; ΔE to the lowest computed polymorph = 0 kJ/mol of formula units; electronic total energy = -5.57 eV/atom; mass density = 6.7 g cm⁻³
1.0
-0.715 1.381 3.926
0.247 -3.962 1.439
3.968 0.452 0.564
W N F Fe
1 1 2 1
Direct
0.000 0.000 0.000
0.000 0.000 0.500
0.500 0.000 0.000
0.000 0.500 0.000
0.500 0.500 0.500